Below is crystalline V3Si3O10 at its relaxed geometry, with properties calculated at the PBEsol level.

Results
Total energy ... -8.528 eV/atom

Lattice parameters (Å, degrees): 14.807 4.755 10.258 90.00 92.78 90.00
Space group C2/c (No. 15)
Asymmetric unit:
V (0.154, 0.240, 0.269) (multiplicity 8)
V (0.250, 0.250, 0.000) (multiplicity 4)
Si (0.000, 0.203, 0.750) (multiplicity 4)
Si (0.149, 0.308, 0.584) (multiplicity 8)
O (0.062, 0.429, 0.664) (multiplicity 8)
O (0.070, 0.016, 0.838) (multiplicity 8)
O (0.157, 0.030, 0.097) (multiplicity 8)
O (0.160, 0.445, 0.440) (multiplicity 8)
O (0.235, 0.479, 0.666) (multiplicity 8)

---

Below is crystalline AsPdSeBr2 at its relaxed geometry, with properties calculated at the PBEsol level.

Results
Total energy ... -3.178 eV/atom

Lattice parameters (Å, degrees): 5.072 5.072 5.081 90.00 90.00 90.00
Space group P4/mmm (No. 123)
Asymmetric unit:
As (0.000, 0.000, 0.000) (multiplicity 1)
Pd (0.500, 0.500, 0.500) (multiplicity 1)
Se (0.000, 0.000, 0.500) (multiplicity 1)
Br (0.000, 0.500, 0.000) (multiplicity 2)

---

Below is crystalline BaMgCl2 at its relaxed geometry, with properties calculated at the PBEsol level.

Results
Total energy ... -3.456 eV/atom

Lattice parameters (Å, degrees): 4.086 4.086 6.536 90.00 90.00 90.00
Space group P4mm (No. 99)
Asymmetric unit:
Ba (0.000, 0.000, 0.000) (multiplicity 1)
Mg (0.500, 0.500, 0.606) (multiplicity 1)
Cl (0.000, 0.000, 0.504) (multiplicity 1)
Cl (0.500, 0.500, 0.217) (multiplicity 1)

---

total energy of number 2 (AsPdSeBr2)? -3.178 eV/atom

---

total energy of number 1 (V3Si3O10)? -8.528 eV/atom

---

Which value of total energy does entry 1 give? -8.528 eV/atom